[1]
First-principles (PBE-GGA) data for Er2TmH after structural relaxation, as listed in Alexandria via LeMat-Bulk.

Computed properties:
ρ in g cm⁻³: 9.2
Polymorph energy (0 for the lowest one) in meV/atom: 306
Total moment in μB per cell: 0.00
N(E_F) in states/eV per atom: 0.958

a = 3.309 Å, b = 3.309 Å, c = 8.330 Å
α = 90.00°, β = 90.00°, γ = 90.00°
Space group P4/mmm (No. 123)
Symmetry-distinct sites (fractional):
1 Er 0.000 0.000 0.194
2 Tm 0.500 0.500 0.500
3 H 0.500 0.500 0.000

---

[2]
First-principles (PBE-GGA) data for Tb7S5N after structural relaxation, as listed in Alexandria via LeMat-Bulk.

Computed properties:
ρ in g cm⁻³: 7.3
Total moment in μB per cell: 0.01
Uncorrected formation energy in meV/atom: -1680
N(E_F) in states/eV per atom: 0.546

a = 3.742 Å, b = 12.994 Å, c = 23.965 Å
α = 90.00°, β = 90.00°, γ = 90.00°
Space group Cmc2_1 (No. 36)
Symmetry-distinct sites (fractional):
1 Tb 0.000 0.045 0.000
2 Tb 0.000 0.110 0.282
3 Tb 0.000 0.165 0.707
4 Tb 0.000 0.265 0.060
5 Tb 0.000 0.334 0.914
6 Tb 0.000 0.392 0.348
7 Tb 0.000 0.441 0.630
8 S 0.000 0.025 0.388
9 S 0.000 0.085 0.597
10 S 0.000 0.195 0.171
11 S 0.000 0.248 0.811
12 S 0.000 0.474 0.242
13 N 0.000 0.364 0.545

---

[3]
First-principles (PBE-GGA) data for Dy3MgTc after structural relaxation, as listed in Alexandria via LeMat-Bulk.

Computed properties:
Calculated formation energy in eV per atom: -0.03
ρ in g cm⁻³: 7.7
Total moment in μB per cell: 0.00
N(E_F) in states/eV per atom: 0.527

a = 5.522 Å, b = 6.588 Å, c = 7.416 Å
α = 90.00°, β = 103.70°, γ = 90.00°
Space group P2_1/m (No. 11)
Symmetry-distinct sites (fractional):
1 Dy 0.039 0.001 0.228
2 Dy 0.404 0.250 0.604
3 Mg 0.499 0.750 0.915
4 Tc 0.176 0.750 0.546

---

[4]
First-principles (PBE-GGA) data for Tl2BiAs2O6 after structural relaxation, as listed in Alexandria via LeMat-Bulk.

Computed properties:
ρ in g cm⁻³: 6.8
Total moment in μB per cell: 0.00
Uncorrected formation energy in meV/atom: -1042
N(E_F) in states/eV per atom: 0.403

a = 10.122 Å, b = 6.142 Å, c = 7.759 Å
α = 90.00°, β = 119.31°, γ = 90.00°
Space group C2/m (No. 12)
Symmetry-distinct sites (fractional):
1 Tl 0.205 0.000 0.192
2 Bi 0.000 0.000 0.500
3 As 0.051 0.500 0.228
4 O 0.043 0.274 0.737
5 O 0.241 0.500 0.423

---

[5]
First-principles (PBE-GGA) data for InGe3W after structural relaxation, as listed in Alexandria via LeMat-Bulk.

Computed properties:
Calculated formation energy in eV per atom: 0.36
ρ in g cm⁻³: 7.0
Polymorph energy (0 for the lowest one) in meV/atom: 0
Total moment in μB per cell: 0.00
N(E_F) in states/eV per atom: 0.549

a = 4.958 Å, b = 4.958 Å, c = 4.958 Å
α = 90.00°, β = 90.00°, γ = 90.00°
Space group Pm-3m (No. 221)
Symmetry-distinct sites (fractional):
1 In 0.000 0.000 0.000
2 Ge 0.000 0.500 0.500
3 W 0.500 0.500 0.500

---

[6]
First-principles (PBE-GGA) data for ErTl2RuO8 after structural relaxation, as listed in Alexandria via LeMat-Bulk.

Computed properties:
ρ in g cm⁻³: 7.8
Total moment in μB per cell: 0.92
Uncorrected formation energy in meV/atom: -1160
N(E_F) in states/eV per atom: 0.341

a = 5.053 Å, b = 6.639 Å, c = 5.117 Å
α = 90.00°, β = 91.86°, γ = 90.00°
Space group P2/m (No. 10)
Symmetry-distinct sites (fractional):
1 Er 0.000 0.000 0.000
2 Tl 0.500 0.252 0.500
3 Ru 0.000 0.500 0.000
4 O 0.185 0.288 0.833
5 O 0.266 0.500 0.286
6 O 0.292 0.000 0.313

---

[7]
First-principles (PBE-GGA) data for Zn2IrOs2 after structural relaxation, as listed in Alexandria via LeMat-Bulk.

Computed properties:
Calculated formation energy in eV per atom: 0.69
ρ in g cm⁻³: 15.5
Polymorph energy (0 for the lowest one) in meV/atom: 97
Total moment in μB per cell: 0.92
N(E_F) in states/eV per atom: 1.052

a = 3.275 Å, b = 3.275 Å, c = 14.021 Å
α = 90.00°, β = 90.00°, γ = 90.00°
Space group I4/mmm (No. 139)
Symmetry-distinct sites (fractional):
1 Zn 0.000 0.500 0.250
2 Ir 0.000 0.000 0.000
3 Os 0.000 0.000 0.401

---

[8]
First-principles (PBE-GGA) data for CaCe2Th after structural relaxation, as listed in Alexandria via LeMat-Bulk.

Computed properties:
Calculated formation energy in eV per atom: 0.14
ρ in g cm⁻³: 7.0
Polymorph energy (0 for the lowest one) in meV/atom: 0
Total moment in μB per cell: 1.90
N(E_F) in states/eV per atom: 2.965

a = 3.524 Å, b = 3.524 Å, c = 10.568 Å
α = 90.00°, β = 90.00°, γ = 90.00°
Space group P4/mmm (No. 123)
Symmetry-distinct sites (fractional):
1 Ca 0.000 0.000 0.000
2 Ce 0.500 0.500 0.277
3 Th 0.000 0.000 0.500

---

[9]
First-principles (PBE-GGA) data for BeTl2Si after structural relaxation, as listed in Alexandria via LeMat-Bulk.

Computed properties:
ρ in g cm⁻³: 8.1
Polymorph energy (0 for the lowest one) in meV/atom: 185
Total moment in μB per cell: 0.00
Uncorrected formation energy in meV/atom: 419
N(E_F) in states/eV per atom: 0.502

a = 4.074 Å, b = 5.197 Å, c = 8.624 Å
α = 90.00°, β = 90.00°, γ = 90.00°
Space group Cmm2 (No. 35)
Symmetry-distinct sites (fractional):
1 Be 0.000 0.000 0.000
2 Tl 0.000 0.000 0.375
3 Tl 0.000 0.500 0.740
4 Si 0.000 0.500 0.097

---

[10]
First-principles (PBE-GGA) data for TaSiRu after structural relaxation, as listed in Alexandria via LeMat-Bulk.

Computed properties:
ρ in g cm⁻³: 11.6
Total moment in μB per cell: 0.00
Uncorrected formation energy in meV/atom: -642
N(E_F) in states/eV per atom: 0.715

a = 6.454 Å, b = 3.750 Å, c = 11.053 Å
α = 90.00°, β = 90.92°, γ = 90.00°
Space group P2_1/m (No. 11)
Symmetry-distinct sites (fractional):
1 Ta 0.015 0.250 0.207
2 Ta 0.342 0.750 0.579
3 Ta 0.472 0.750 0.885
4 Si 0.234 0.750 0.086
5 Si 0.237 0.250 0.414
6 Si 0.276 0.250 0.752
7 Ru 0.016 0.250 0.594
8 Ru 0.150 0.250 0.959
9 Ru 0.359 0.750 0.298

---

[11]
First-principles (PBE-GGA) data for Th3Tl3BiTe8 after structural relaxation, as listed in Alexandria via LeMat-Bulk.

Computed properties:
ρ in g cm⁻³: 7.2
Total moment in μB per cell: 5.53
Uncorrected formation energy in meV/atom: -738
N(E_F) in states/eV per atom: 0.638

a = 8.9548 Å, b = 8.9548 Å, c = 25.1376 Å
α = 90.00°, β = 90.00°, γ = 120.00°
Space group R-3m (No. 166, hexagonal axes)
Symmetry-distinct sites (fractional):
1 Th 0.0000 0.5000 0.0000
2 Tl 0.0000 0.5000 0.5000
3 Bi 0.0000 0.0000 0.0000
4 Te 0.0000 0.0000 0.2588
5 Te 0.0025 0.5012 0.2601

---

[12]
First-principles (PBE-GGA) data for SrSi2Ni after structural relaxation, as listed in Alexandria via LeMat-Bulk.

Computed properties:
ρ in g cm⁻³: 4.6
Total moment in μB per cell: 0.00
Uncorrected formation energy in meV/atom: 287
N(E_F) in states/eV per atom: 0.251

a = 4.705 Å, b = 4.705 Å, c = 6.581 Å
α = 90.00°, β = 90.00°, γ = 90.00°
Space group I-4m2 (No. 119)
Symmetry-distinct sites (fractional):
1 Sr 0.000 0.000 0.000
2 Si 0.000 0.000 0.500
3 Si 0.000 0.500 0.250
4 Ni 0.000 0.500 0.750

---

[13]
First-principles (PBE-GGA) data for La4Pm2Y3 after structural relaxation, as listed in Alexandria via LeMat-Bulk.

Computed properties:
Calculated formation energy in eV per atom: 0.02
ρ in g cm⁻³: 5.9
Total moment in μB per cell: 0.00
N(E_F) in states/eV per atom: 1.742

a = 15.534 Å, b = 5.210 Å, c = 8.174 Å
α = 90.00°, β = 108.58°, γ = 90.00°
Space group C2/m (No. 12)
Symmetry-distinct sites (fractional):
1 La 0.055 0.000 0.332
2 La 0.222 0.500 0.333
3 Pm 0.167 0.000 0.000
4 Y 0.000 0.500 0.000
5 Y 0.112 0.500 0.670

---

[14]
First-principles (PBE-GGA) data for CsK2CuAg after structural relaxation, as listed in Alexandria via LeMat-Bulk.

Computed properties:
Calculated formation energy in eV per atom: 0.24
ρ in g cm⁻³: 2.9
Polymorph energy (0 for the lowest one) in meV/atom: 0
Total moment in μB per cell: 0.00
N(E_F) in states/eV per atom: 0.565

a = 6.493 Å, b = 6.493 Å, c = 5.235 Å
α = 90.00°, β = 90.00°, γ = 90.00°
Space group P4/mmm (No. 123)
Symmetry-distinct sites (fractional):
1 Cs 0.000 0.000 0.000
2 K 0.000 0.500 0.500
3 Cu 0.500 0.500 0.500
4 Ag 0.500 0.500 0.000